[1]
BaCl4 at its PBEsol-relaxed geometry, computed with SCAN.

Unit cell a=7.0677 b=7.0677 c=7.0677 alpha=90.00 beta=90.00 gamma=90.00
Last column: nearest neighbours and their distance in Å.
Positions (direct):
Ba 0.0000 0.0000 0.0000  8 Cl 3.06
Ba 0.5000 0.5000 0.5000  8 Cl 3.06
Cl 0.2500 0.2500 0.2500  2 Ba 3.06
Cl 0.2500 0.2500 0.7500  2 Ba 3.06
Cl 0.2500 0.7500 0.2500  2 Ba 3.06
Cl 0.2500 0.7500 0.7500  2 Ba 3.06
Cl 0.7500 0.2500 0.2500  2 Ba 3.06
Cl 0.7500 0.2500 0.7500  2 Ba 3.06
Cl 0.7500 0.7500 0.2500  2 Ba 3.06
Cl 0.7500 0.7500 0.7500  2 Ba 3.06

Calculated values
As for the uncorrected formation energy: -1.204 eV per atom. For the raw total energy, the calculation gives -155.0 eV/cell. As for the space group: Im-3m (229).

***

[2]
TlOs2Pt at its PBEsol-relaxed geometry, computed with SCAN.

Unit cell a=2.8189 b=3.8142 c=6.0155 alpha=90.00 beta=90.00 gamma=90.00
Last column: nearest neighbours and their distance in Å.
Positions (direct):
Tl 0.0000 0.0000 0.0000  2 Tl 2.82, 4 Pt 2.84, 6 Os 2.89-3.12
Os 0.0000 0.0000 0.4806  6 Os 2.62-2.82, 4 Pt 2.84, 1 Tl 2.89
Os 0.5000 0.5000 0.2965  6 Os 2.62-2.82, 1 Pt 2.67
Pt 0.5000 0.5000 0.7397  5 Os 2.67-2.84, 2 Pt 2.82, 4 Tl 2.84

Calculated values
For the raw total energy, the calculation gives -284.1 eV/cell. As for the space group: Pmm2 (25). The value obtained for the energy above the most stable polymorph in this dataset is 0 meV per atom. The energy relative to the elements is 0.5406 eV per atom.

***

[3]
HfZnAu3 at its PBEsol-relaxed geometry, computed with SCAN.

Unit cell a=4.6302 b=4.6302 c=4.6302 alpha=90.00 beta=90.00 gamma=90.00
Last column: nearest neighbours and their distance in Å.
Positions (direct):
Hf 0.0000 0.0000 0.0000  12 Au 3.27
Zn 0.5000 0.5000 0.5000  6 Au 2.32
Au 0.0000 0.5000 0.5000  2 Zn 2.32
Au 0.5000 0.0000 0.5000  2 Zn 2.32
Au 0.5000 0.5000 0.0000  2 Zn 2.32

Calculated values
For the raw total energy, the calculation gives -282.0 eV/cell. As for the space group: Pm-3m (221). The energy relative to the elements is 0.3371 eV per atom.

***

[4]
K2LiIr at its PBEsol-relaxed geometry, computed with SCAN.

Unit cell a=4.2293 b=5.4297 c=9.0326 alpha=90.00 beta=90.00 gamma=90.00
Last column: nearest neighbours and their distance in Å.
Positions (direct):
K 0.0000 0.0000 0.0000  4 K 3.25-3.45, 4 Ir 3.27-3.39, 4 Li 3.54
K 0.0000 0.5000 0.1988  4 K 3.25-3.45, 4 Li 3.31-3.37, 4 Ir 3.51
K 0.5000 0.0000 0.6988  4 K 3.25-3.45, 4 Li 3.31-3.37, 4 Ir 3.51
K 0.5000 0.5000 0.5000  4 K 3.25-3.45, 4 Ir 3.27-3.39, 4 Li 3.54
Li 0.0000 0.0000 0.4081  2 Ir 2.43
Li 0.5000 0.5000 0.9081  2 Ir 2.43
Ir 0.0000 0.5000 0.7758  2 Li 2.43
Ir 0.5000 0.0000 0.2758  2 Li 2.43

Calculated values
For the raw total energy, the calculation gives -175.8 eV/cell. As for the space group: Imm2 (44). The energy relative to the elements is 0.5633 eV per atom.

***

[5]
Li3Mn4O8 at its PBEsol-relaxed geometry, computed with SCAN.

Unit cell a=5.7104 b=5.7104 c=5.6137 alpha=118.55 beta=118.55 gamma=92.85
Last column: nearest neighbours and their distance in Å.
Positions (direct):
Li 0.0000 0.0000 0.0000  6 O 2.06-2.18
Li 0.0000 0.5000 0.0000  6 O 1.97-2.08
Li 0.5000 0.0000 0.0000  6 O 1.97-2.08
Mn 0.0000 0.5000 0.5000  6 O 1.97-2.07
Mn 0.5000 0.0000 0.5000  6 O 1.97-2.07
Mn 0.5000 0.5000 0.0000  6 O 1.88-1.95
Mn 0.5000 0.5000 0.5000  6 O 1.87-1.92
O 0.2640 0.7360 0.0000  3 Mn 1.95-2.03, 3 Li 1.97-2.18
O 0.2661 0.2661 0.5187  4 Mn 1.92-2.07, 1 Li 2.10
O 0.2690 0.7310 0.5000  3 Mn 1.91-1.97, 2 Li 2.03
O 0.2801 0.2801 0.0376  2 Mn 1.87-1.88, 3 Li 2.06-2.08
O 0.7199 0.7199 0.9624  2 Mn 1.87-1.88, 3 Li 2.06-2.08
O 0.7310 0.2690 0.5000  3 Mn 1.91-1.97, 2 Li 2.03
O 0.7339 0.7339 0.4813  4 Mn 1.92-2.07, 1 Li 2.10
O 0.7360 0.2640 0.0000  3 Mn 1.95-2.03, 3 Li 1.97-2.18

Calculated values
As for the uncorrected formation energy: -2.197 eV per atom. For the raw total energy, the calculation gives -163.0 eV/cell. As for the space group: C2/m (12). The value obtained for the energy above the most stable polymorph in this dataset is 3 meV per atom.

***

[6]
AlRe2Os at its PBEsol-relaxed geometry, computed with SCAN.

Unit cell a=2.9208 b=2.9208 c=6.5850 alpha=90.00 beta=90.00 gamma=90.00
Last column: nearest neighbours and their distance in Å.
Positions (direct):
Al 0.0000 0.0000 0.0000  4 Os 2.58, 4 Re 2.63
Re 0.0000 0.0000 0.4951  8 Re 2.68-2.92, 4 Os 2.68
Re 0.5000 0.5000 0.7536  4 Al 2.63, 8 Re 2.68-2.92
Os 0.5000 0.5000 0.2357  4 Al 2.58, 4 Re 2.68

Calculated values
For the raw total energy, the calculation gives -222.7 eV/cell. As for the space group: P4mm (99). The energy relative to the elements is -0.2189 eV per atom.

***

[7]
AlCrRh2 at its PBEsol-relaxed geometry, computed with SCAN.

Unit cell a=8.9622 b=2.7989 c=4.3696 alpha=90.00 beta=106.34 gamma=90.00
Last column: nearest neighbours and their distance in Å.
Positions (direct):
Al 0.0000 0.0000 0.0000  7 Rh 2.51-2.61, 2 Cr 2.73, 2 Al 2.80
Al 0.5000 0.5000 0.0000  7 Rh 2.51-2.61, 2 Cr 2.73, 2 Al 2.80
Cr 0.2495 0.5000 0.3569  7 Rh 2.50-2.60, 2 Al 2.73, 2 Cr 2.80
Cr 0.7495 0.0000 0.3569  7 Rh 2.50-2.60, 2 Al 2.73, 2 Cr 2.80
Rh 0.2573 0.0000 0.8617  3 Al 2.51-2.54, 4 Cr 2.59-2.60, 2 Rh 2.80
Rh 0.4911 0.0000 0.4907  3 Cr 2.50-2.54, 4 Al 2.58-2.61, 2 Rh 2.80
Rh 0.7573 0.5000 0.8617  3 Al 2.51-2.54, 4 Cr 2.59-2.60, 2 Rh 2.80
Rh 0.9911 0.5000 0.4907  3 Cr 2.50-2.54, 4 Al 2.58-2.61, 2 Rh 2.80

Calculated values
For the raw total energy, the calculation gives -192.2 eV/cell. As for the space group: Cm (8). The energy relative to the elements is -0.6107 eV per atom.

***

[8]
ScSbRu at its PBEsol-relaxed geometry, computed with SCAN.

Unit cell a=3.1762 b=3.1762 c=10.8831 alpha=90.00 beta=90.00 gamma=90.00
Last column: nearest neighbours and their distance in Å.
Positions (direct):
Sc 0.0000 0.0000 0.0000  4 Ru 2.82
Sc 0.5000 0.5000 0.5000  4 Ru 2.82
Sb 0.0000 0.0000 0.7041  4 Ru 2.71
Sb 0.5000 0.5000 0.2041  4 Ru 2.71
Ru 0.0000 0.0000 0.3435  4 Sb 2.71, 4 Sc 2.82
Ru 0.5000 0.5000 0.8435  4 Sb 2.71, 4 Sc 2.82

Calculated values
As for the uncorrected formation energy: -0.478 eV per atom. For the raw total energy, the calculation gives -175.5 eV/cell. As for the space group: I4mm (107).

***

[9]
V2O5 at its PBEsol-relaxed geometry, computed with SCAN.

Unit cell a=6.2457 b=3.5502 c=7.3917 alpha=90.00 beta=90.46 gamma=90.00
Last column: nearest neighbours and their distance in Å.
Positions (direct):
V 0.1942 0.2500 0.0939  2 O 1.64-1.73
V 0.2571 0.7500 0.7322  1 O 1.58
V 0.7429 0.2500 0.2678  1 O 1.58
V 0.8058 0.7500 0.9061  2 O 1.64-1.73
O 0.0400 0.2500 0.2866  2 V 1.73-1.86
O 0.1444 0.7500 0.0312  2 V 1.86
O 0.2580 0.2500 0.8134  2 V 1.87
O 0.3173 0.7500 0.5256  1 V 1.58
O 0.4421 0.2500 0.1687  1 V 1.64
O 0.5579 0.7500 0.8313  1 V 1.64
O 0.6827 0.2500 0.4744  1 V 1.58
O 0.7420 0.7500 0.1866  2 V 1.87
O 0.8556 0.2500 0.9688  2 V 1.86
O 0.9600 0.7500 0.7134  2 V 1.73-1.86

Calculated values
As for the uncorrected formation energy: -2.460 eV per atom. For the raw total energy, the calculation gives -166.7 eV/cell. As for the space group: P2_1/m (11).

***

[10]
AlAsIr2 at its PBEsol-relaxed geometry, computed with SCAN.

Unit cell a=2.9460 b=4.2417 c=9.3779 alpha=90.00 beta=90.00 gamma=90.00
Last column: nearest neighbours and their distance in Å.
Positions (direct):
Al 0.0000 0.0000 0.0000  6 Ir 2.59-2.69, 2 As 2.90
Al 0.5000 0.5000 0.5000  6 Ir 2.59-2.69, 2 As 2.90
As 0.0000 0.5000 0.2342  6 Ir 2.52-2.58
As 0.5000 0.0000 0.7342  6 Ir 2.52-2.58
Ir 0.0000 0.0000 0.5164  2 As 2.52, 4 Al 2.59
Ir 0.0000 0.5000 0.7400  4 As 2.58, 2 Al 2.69
Ir 0.5000 0.0000 0.2400  4 As 2.58, 2 Al 2.69
Ir 0.5000 0.5000 0.0164  2 As 2.52, 4 Al 2.59

Calculated values
For the raw total energy, the calculation gives -342.2 eV/cell. As for the space group: Imm2 (44). The value obtained for the energy above the most stable polymorph in this dataset is 0 meV per atom. The energy relative to the elements is -0.2417 eV per atom.

***

[11]
ZrSi2As at its PBEsol-relaxed geometry, computed with SCAN.

Unit cell a=7.2362 b=7.2362 c=5.3954 alpha=90.00 beta=90.00 gamma=90.00
Last column: nearest neighbours and their distance in Å.
Positions (direct):
Zr 0.0000 0.0000 0.0000  2 As 2.70, 4 Si 2.75
Zr 0.0000 0.5000 0.2500  2 As 2.70, 4 Si 2.75
Zr 0.5000 0.0000 0.7500  2 As 2.70, 4 Si 2.75
Zr 0.5000 0.5000 0.5000  2 As 2.70, 4 Si 2.75
Si 0.2299 0.7500 0.6250  2 As 2.55, 2 Si 2.71, 2 Zr 2.75
Si 0.2500 0.2299 0.3750  2 As 2.55, 2 Si 2.71, 2 Zr 2.75
Si 0.2500 0.2701 0.8750  2 As 2.55, 2 Si 2.71, 2 Zr 2.75
Si 0.2701 0.7500 0.1250  2 As 2.55, 2 Si 2.71, 2 Zr 2.75
Si 0.7299 0.2500 0.1250  2 As 2.55, 2 Si 2.71, 2 Zr 2.75
Si 0.7500 0.7299 0.8750  2 As 2.55, 2 Si 2.71, 2 Zr 2.75
Si 0.7500 0.7701 0.3750  2 As 2.55, 2 Si 2.71, 2 Zr 2.75
Si 0.7701 0.2500 0.6250  2 As 2.55, 2 Si 2.71, 2 Zr 2.75
As 0.0000 0.0000 0.5000  4 Si 2.55, 2 Zr 2.70
As 0.0000 0.5000 0.7500  4 Si 2.55, 2 Zr 2.70
As 0.5000 0.0000 0.2500  4 Si 2.55, 2 Zr 2.70
As 0.5000 0.5000 0.0000  4 Si 2.55, 2 Zr 2.70

Calculated values
As for the uncorrected formation energy: 0.054 eV per atom. For the raw total energy, the calculation gives -282.8 eV/cell. As for the space group: I-42d (122). The value obtained for the energy above the most stable polymorph in this dataset is 175 meV per atom.

***

[12]
YIn4Ir at its PBEsol-relaxed geometry, computed with SCAN.

Unit cell a=5.7324 b=5.7324 c=5.7324 alpha=60.00 beta=60.00 gamma=60.00
Last column: nearest neighbours and their distance in Å.
Positions (direct):
Y 0.0000 0.0000 0.0000  12 In 3.36, 4 Ir 3.51
In 0.3752 0.3752 0.3752  6 In 2.86-2.87
In 0.3752 0.3752 0.8744  6 In 2.86-2.87
In 0.3752 0.8744 0.3752  6 In 2.86-2.87
In 0.8744 0.3752 0.3752  6 In 2.86-2.87
Ir 0.7500 0.7500 0.7500  12 In 3.36, 4 Y 3.51

Calculated values
For the raw total energy, the calculation gives -230.9 eV/cell. As for the space group: F-43m (216). The energy relative to the elements is 0.2603 eV per atom.